#P
This record from Alexandria via LeMat-Bulk describes an optimized crystal structure of ZrSi2Te. The functional is PBE.

Calculated values
- Space-group type: No. 44

a b c (Å): 5.2609 5.2609 5.2609
angles (deg): 140.01 123.05 71.85
Atoms (fractional coordinates):
Si 0.0363 0.0363 0.0000
Si 0.2185 0.7185 0.5000
Zr 0.7681 0.2681 0.5000
Te 0.4771 0.4771 0.0000

#Q
This record from Alexandria via LeMat-Bulk describes an optimized crystal structure of ZrSi2Te. The functional is PBE.

Calculated values
- Space-group type: No. 6

a b c (Å): 3.8271 4.0115 5.7139
angles (deg): 70.18 90.00 90.00
Atoms (fractional coordinates):
Si 0.0000 0.8861 0.0846
Si 0.5000 0.2314 0.1356
Zr 0.5000 0.8964 0.7371
Te 0.0000 0.4861 0.5427

Which one sits at the top of the stability order? #Q does.

#P
This record from Alexandria via LeMat-Bulk describes an optimized crystal structure of ZrSi2Te. The functional is PBE.

Calculated values
- Space-group type: No. 119

a b c (Å): 5.6170 5.6170 5.6170
angles (deg): 137.70 137.70 61.36
Atoms (fractional coordinates):
Zr 0.7500 0.2500 0.5000
Te 0.5000 0.5000 0.0000
Si 0.0000 0.0000 0.0000
Si 0.2500 0.7500 0.5000

#Q
This record from Alexandria via LeMat-Bulk describes an optimized crystal structure of ZrSi2Te. The functional is PBE.

Calculated values
- Space-group type: No. 122

a b c (Å): 6.2929 6.2929 7.4512
angles (deg): 65.02 65.02 90.00
Atoms (fractional coordinates):
Zr 0.2500 0.7500 0.5000
Zr 0.5000 0.5000 0.0000
Si 0.3750 0.3820 0.7500
Si 0.8750 0.8680 0.7500
Si 0.1320 0.6250 0.2500
Si 0.6180 0.1250 0.2500
Te 0.0000 0.0000 0.0000
Te 0.7500 0.2500 0.5000

Which one sits at the top of the stability order? #P does.